A relaxed CsVO4 crystal, computed with PBE+U.

```
12
Lattice="5.4283 0.0000 -0.5528 0.0000 6.9016 0.0000 -2.2242 -3.4508 6.4342" Properties=species:S:1:pos:R:3 pbc="T T T"
Cs -1.4598 3.4508 4.4377
Cs 4.6640 0.0000 1.4437
V 1.2313 3.4508 0.7296
V 1.9728 0.0000 5.1517
O 1.0619 3.4508 2.3713
O 0.6104 -1.3404 5.4449
O 0.0000 2.2338 0.0000
O 2.5937 2.1104 0.4365
O 2.1422 0.0000 3.5101
O 2.5937 4.7912 0.4365
O 0.0000 4.6678 0.0000
O 0.6104 1.3404 5.4449
```

Calculated values
total DFT energy (no corrections): -6.235 eV per atom
crystal system: monoclinic